[1]
# Ba6NaCd2

Ba6NaCd2 after structural relaxation (PBE, Alexandria).

abc: 10.668 10.668 10.668
angles: 101.74 110.64 116.37
Fractional positions:
Na1 0.000 0.500 0.500
Ba1 0.527 0.711 0.816
Ba2 0.206 0.763 0.969
Ba3 0.307 0.978 0.671
Cd1 0.343 0.000 0.343
Cd2 0.500 0.621 0.121
Ba4 0.307 0.635 0.329
Ba5 0.473 0.289 0.184
Ba6 0.794 0.237 0.031
Ba7 0.105 0.289 0.816
Ba8 0.895 0.711 0.184
Ba9 0.693 0.022 0.329
Cd3 0.500 0.379 0.879
Ba10 0.206 0.237 0.443
Ba11 0.693 0.365 0.671
Ba12 0.794 0.763 0.557
Cd4 0.657 0.000 0.657
Na2 0.000 0.000 0.000

Output
The density is 3.9 g cm⁻³. As for the total DFT energy (no corrections): -1.75 eV/atom. Its volume is 919 Å³ per cell. As for the magnetization: 0.000 μB per atom. The calculated formation energy comes out at -1.11 eV/f.u. Its space group is Immm, No. 71.


[2]
# Ba2AlZn

Ba2AlZn after structural relaxation (PBE, Alexandria).

abc: 5.670 5.670 5.670
angles: 60.00 60.00 60.00
Fractional positions:
Ba1 0.000 0.000 0.000
Zn1 0.750 0.750 0.750
Ba2 0.250 0.250 0.250
Al1 0.500 0.500 0.500

Output
The density is 4.7 g cm⁻³. As for the total DFT energy (no corrections): -2.09 eV/atom. Its volume is 129 Å³ per cell. As for the magnetization: 0.000 μB per atom. The calculated formation energy comes out at 0.49 eV/f.u. Its space group is F-43m, No. 216.


[3]
# PmZnNi

PmZnNi after structural relaxation (PBE, Alexandria).

abc: 4.950 4.950 6.219
angles: 66.55 66.55 60.00
Fractional positions:
Pm1 0.604 0.604 0.189
Zn1 0.083 0.083 0.750
Zn2 0.917 0.917 0.250
Pm2 0.396 0.396 0.811
Ni1 0.773 0.773 0.682
Ni2 0.227 0.227 0.318

Output
As for the offset from the most stable computed form: 0.234 eV per atom. The density is 7.6 g cm⁻³. As for the total DFT energy (no corrections): -4.10 eV/atom. Its volume is 117 Å³ per cell. As for the magnetization: 0.000 μB per atom. The calculated formation energy comes out at -0.49 eV/f.u. Its space group is R-3m, No. 166.


[4]
# Sr4AsOs

Sr4AsOs after structural relaxation (PBE, Alexandria).

abc: 6.391 6.391 6.391
angles: 60.00 60.00 60.00
Fractional positions:
Sr1 0.375 0.375 0.876
Sr2 0.375 0.876 0.375
Os1 0.000 0.000 0.000
Sr3 0.375 0.375 0.375
As1 0.750 0.750 0.750
Sr4 0.876 0.375 0.375

Output
The density is 5.5 g cm⁻³. As for the total DFT energy (no corrections): -2.72 eV/atom. Its volume is 185 Å³ per cell. As for the magnetization: 0.140 μB per atom. The calculated formation energy comes out at 6.27 eV/f.u. Its space group is F-43m, No. 216.


[5]
# ScNb2Ru

ScNb2Ru after structural relaxation (PBE, Alexandria).

abc: 4.606 4.606 4.606
angles: 60.00 60.00 60.00
Fractional positions:
Nb1 0.750 0.750 0.750
Ru1 0.500 0.500 0.500
Nb2 0.250 0.250 0.250
Sc1 0.000 0.000 0.000

Output
As for the offset from the most stable computed form: 0.000 eV per atom. The density is 8.0 g cm⁻³. As for the total DFT energy (no corrections): -8.96 eV/atom. Its volume is 69 Å³ per cell. As for the magnetization: 0.000 μB per atom. The calculated formation energy comes out at -0.08 eV/f.u. Its space group is Fm-3m, No. 225.


[6]
# Fe3BRu

Fe3BRu after structural relaxation (PBE, Alexandria).

abc: 4.543 4.543 4.543
angles: 90.00 90.00 90.00
Fractional positions:
Fe1 0.500 0.000 0.000
B1 0.500 0.500 0.500
Fe2 0.000 0.000 0.500
Ru1 0.000 0.000 0.000
Fe3 0.000 0.500 0.000

Output
As for the offset from the most stable computed form: 1.928 eV per atom. The density is 4.9 g cm⁻³. As for the total DFT energy (no corrections): -6.10 eV/atom. Its volume is 94 Å³ per cell. As for the magnetization: 1.913 μB per atom. The calculated formation energy comes out at 10.84 eV/f.u. Its space group is Pm-3m, No. 221.


[7]
# NpTi2Sb

NpTi2Sb after structural relaxation (PBE, Alexandria).

abc: 3.816 4.510 4.510
angles: 90.00 90.00 90.00
Fractional positions:
Sb1 0.500 0.000 0.000
Np1 0.500 0.500 0.500
Ti1 0.000 0.000 0.500
Ti2 0.000 0.500 0.000

Output
As for the offset from the most stable computed form: 0.000 eV per atom. The density is 9.7 g cm⁻³. As for the total DFT energy (no corrections): -8.35 eV/atom. Its volume is 78 Å³ per cell. The value obtained for the raw formation energy is -0.141 eV per atom. As for the magnetization: 1.076 μB per atom. Its space group is P4/mmm, No. 123.


[8]
# AlMoAs2

AlMoAs2 after structural relaxation (PBE, Alexandria).

abc: 4.826 3.497 4.715
angles: 70.14 90.00 90.00
Fractional positions:
As1 0.000 0.740 0.947
As2 0.500 0.509 0.305
Mo1 0.000 0.424 0.545
Al1 0.500 0.827 0.703

Output
The density is 6.1 g cm⁻³. As for the total DFT energy (no corrections): -5.91 eV/atom. Its volume is 75 Å³ per cell. As for the magnetization: 0.000 μB per atom. The calculated formation energy comes out at 0.24 eV/f.u. Its space group is Pm, No. 6.


[9]
# SrBe3H

SrBe3H after structural relaxation (PBE, Alexandria).

abc: 4.187 4.187 4.187
angles: 90.00 90.00 90.00
Fractional positions:
H1 0.000 0.000 0.000
Sr1 0.500 0.500 0.500
Be1 0.000 0.500 0.000
Be2 0.500 0.000 0.000
Be3 0.000 0.000 0.500

Output
The density is 2.6 g cm⁻³. As for the total DFT energy (no corrections): -2.25 eV/atom. Its volume is 73 Å³ per cell. As for the magnetization: 0.000 μB per atom. Its space group is Pm-3m, No. 221.


[10]
# KTe2C

KTe2C after structural relaxation (PBE, Alexandria).

abc: 9.869 9.869 9.869
angles: 21.03 21.03 21.03
Fractional positions:
Te1 0.885 0.885 0.885
C1 0.500 0.500 0.500
K1 0.000 0.000 0.000
Te2 0.115 0.115 0.115

Output
The density is 4.7 g cm⁻³. As for the total DFT energy (no corrections): -3.15 eV/atom. Its volume is 108 Å³ per cell. The value obtained for the raw formation energy is 1.001 eV per atom. As for the magnetization: 0.000 μB per atom. Its space group is R-3m, No. 166.


[11]
# Li2Ce3In3

Li2Ce3In3 after structural relaxation (PBE, Alexandria).

abc: 3.036 8.596 8.596
angles: 120.00 90.00 90.00
Fractional positions:
In1 0.500 0.409 0.409
Ce1 0.000 0.760 0.760
Ce2 0.000 0.000 0.240
Ce3 0.000 0.240 0.000
Li1 0.000 0.667 0.333
In2 0.500 0.000 0.591
Li2 0.000 0.333 0.667
In3 0.500 0.591 0.000

Output
As for the offset from the most stable computed form: 0.029 eV per atom. The density is 6.7 g cm⁻³. As for the total DFT energy (no corrections): -3.97 eV/atom. Its volume is 194 Å³ per cell. As for the magnetization: 0.415 μB per atom. The calculated formation energy comes out at -1.93 eV/f.u. Its space group is P-62m, No. 189.


[12]
# Ac4La4Er

Ac4La4Er after structural relaxation (PBE, Alexandria).

abc: 5.409 8.566 8.566
angles: 84.28 71.60 71.60
Fractional positions:
La1 0.663 0.337 0.337
Ac1 0.335 0.000 0.330
Er1 0.000 0.000 0.000
La2 0.000 0.663 0.337
La3 0.337 0.663 0.663
Ac2 0.335 0.330 0.000
La4 0.000 0.337 0.663
Ac3 0.665 0.000 0.670
Ac4 0.665 0.670 0.000

Output
The density is 7.6 g cm⁻³. As for the total DFT energy (no corrections): -4.49 eV/atom. Its volume is 357 Å³ per cell. As for the magnetization: 0.000 μB per atom. The calculated formation energy comes out at 0.29 eV/f.u. Its space group is I4/mmm, No. 139.